Record 1
# Ho2MgTl2 (PBE, optimized geometry)
data_Ho2MgTl2
_chemical_formula_sum 'Ho4 Mg2 Tl4'
_symmetry_space_group_name_H-M 'P 4/m b m'
_symmetry_Int_Tables_number 127
_symmetry_space_group_name_Hall '-P 4 2ab'
_cell_length_a 7.759
_cell_length_b 7.759
_cell_length_c 4.486
_cell_angle_alpha 90.00
_cell_angle_beta 90.00
_cell_angle_gamma 90.00
loop_
_atom_site_label
_atom_site_fract_x
_atom_site_fract_y
_atom_site_fract_z
Ho1 0.167 0.333 0.000
Mg1 0.000 0.000 0.500
Tl1 0.138 0.638 0.500
# Relative energy among the computed polymorphs (meV per atom): 0

=====

Record 2
A plane-wave DFT calculation with PBE was carried out for a relaxed structure of Ho2MgTl4.

CIF file:
```
data_Ho2MgTl4
_chemical_formula_sum 'Ho4 Mg2 Tl8'
_symmetry_space_group_name_H-M 'I 4/m m m'
_symmetry_Int_Tables_number 139
_symmetry_space_group_name_Hall '-I 4 2'
_cell_length_a 5.598
_cell_length_b 5.598
_cell_length_c 13.116
_cell_angle_alpha 90.00
_cell_angle_beta 90.00
_cell_angle_gamma 90.00
loop_
_atom_site_label
_atom_site_fract_x
_atom_site_fract_y
_atom_site_fract_z
Ho1 0.000 0.000 0.136
Mg1 0.000 0.000 0.500
Tl1 0.000 0.500 0.000
Tl2 0.000 0.500 0.250
```

=====

Record 3
A plane-wave DFT calculation with PBE was carried out for a relaxed structure of Ho4MgTl5.

CIF file:
```
data_Ho4MgTl5
_chemical_formula_sum 'Ho4 Mg1 Tl5'
_symmetry_space_group_name_H-M 'P 4/m m m'
_symmetry_Int_Tables_number 123
_symmetry_space_group_name_Hall '-P 4 2'
_cell_length_a 3.677
_cell_length_b 3.677
_cell_length_c 19.524
_cell_angle_alpha 90.00
_cell_angle_beta 90.00
_cell_angle_gamma 90.00
loop_
_atom_site_label
_atom_site_fract_x
_atom_site_fract_y
_atom_site_fract_z
Ho1 0.000 0.000 0.103
Ho2 0.000 0.000 0.311
Mg1 0.000 0.000 0.500
Tl1 0.500 0.500 0.000
Tl2 0.500 0.500 0.206
Tl3 0.500 0.500 0.411
```

=====

Record 4
# HoMg2Tl (PBE, optimized geometry)
data_HoMg2Tl
_chemical_formula_sum 'Ho1 Mg2 Tl1'
_symmetry_space_group_name_H-M 'P 4/m m m'
_symmetry_Int_Tables_number 123
_symmetry_space_group_name_Hall '-P 4 2'
_cell_length_a 4.516
_cell_length_b 4.516
_cell_length_c 4.820
_cell_angle_alpha 90.00
_cell_angle_beta 90.00
_cell_angle_gamma 90.00
loop_
_atom_site_label
_atom_site_fract_x
_atom_site_fract_y
_atom_site_fract_z
Ho1 0.000 0.000 0.000
Mg1 0.000 0.500 0.500
Tl1 0.500 0.500 0.000
# Relative energy among the computed polymorphs (meV per atom): 0

=====

Record 5
# Ho2MgTl2 (PBE, optimized geometry)
data_Ho2MgTl2
_chemical_formula_sum 'Ho8 Mg4 Tl8'
_symmetry_space_group_name_H-M 'C m c 21'
_symmetry_Int_Tables_number 36
_cell_length_a 4.923
_cell_length_b 16.784
_cell_length_c 6.533
_cell_angle_alpha 90.00
_cell_angle_beta 90.00
_cell_angle_gamma 90.00
loop_
_symmetry_equiv_pos_as_xyz
'x,y,z'
'-x,-y,z+1/2'
'-x,y,z'
'x,-y,z+1/2'
'x+1/2,y+1/2,z'
'-x+1/2,-y+1/2,z+1/2'
'-x+1/2,y+1/2,z'
'x+1/2,-y+1/2,z+1/2'
loop_
_atom_site_label
_atom_site_fract_x
_atom_site_fract_y
_atom_site_fract_z
Ho1 0.000 0.014 0.000
Ho2 0.000 0.195 0.393
Mg1 0.000 0.389 0.215
Tl1 0.000 0.192 0.876
Tl2 0.000 0.422 0.758
# Relative energy among the computed polymorphs (meV per atom): 48

=====

Record 6
# HoMg2Tl3 (PBE, optimized geometry)
data_HoMg2Tl3
_chemical_formula_sum 'Ho2 Mg4 Tl6'
_symmetry_space_group_name_H-M 'C m m m'
_symmetry_Int_Tables_number 65
_symmetry_space_group_name_Hall '-C 2 2'
_cell_length_a 5.012
_cell_length_b 15.222
_cell_length_c 3.994
_cell_angle_alpha 90.00
_cell_angle_beta 90.00
_cell_angle_gamma 90.00
loop_
_atom_site_label
_atom_site_fract_x
_atom_site_fract_y
_atom_site_fract_z
Ho1 0.000 0.000 0.000
Mg1 0.000 0.332 0.000
Tl1 0.000 0.170 0.500
Tl2 0.000 0.500 0.500
# Relative energy among the computed polymorphs (meV per atom): 0

=====

Record 7
# HoMg2Tl (PBE, optimized geometry)
data_HoMg2Tl
_chemical_formula_sum 'Ho3 Mg6 Tl3'
_symmetry_space_group_name_H-M 'R 3 m'
_symmetry_Int_Tables_number 160
_symmetry_space_group_name_Hall 'R 3 -2"'
_cell_length_a 3.4279
_cell_length_b 3.4279
_cell_length_c 31.3851
_cell_angle_alpha 90.00
_cell_angle_beta 90.00
_cell_angle_gamma 120.00
loop_
_atom_site_label
_atom_site_fract_x
_atom_site_fract_y
_atom_site_fract_z
Ho1 0.0000 0.0000 0.0000
Mg1 0.0000 0.0000 0.5787
Mg2 0.0000 0.0000 0.7540
Tl1 0.0000 0.0000 0.1666
# Relative energy among the computed polymorphs (meV per atom): 207

=====

Record 8
A plane-wave DFT calculation with PBE was carried out for a relaxed structure of Ho2MgTl.

CIF file:
```
data_Ho2MgTl
_chemical_formula_sum 'Ho2 Mg1 Tl1'
_symmetry_space_group_name_H-M 'P 4/m m m'
_symmetry_Int_Tables_number 123
_symmetry_space_group_name_Hall '-P 4 2'
_cell_length_a 4.958
_cell_length_b 4.958
_cell_length_c 4.310
_cell_angle_alpha 90.00
_cell_angle_beta 90.00
_cell_angle_gamma 90.00
loop_
_atom_site_label
_atom_site_fract_x
_atom_site_fract_y
_atom_site_fract_z
Ho1 0.000 0.500 0.000
Mg1 0.000 0.000 0.500
Tl1 0.500 0.500 0.500
```

=====

Record 9
A plane-wave DFT calculation with PBE was carried out for a relaxed structure of HoMg14Tl.

CIF file:
```
data_HoMg14Tl
_chemical_formula_sum 'Ho1 Mg14 Tl1'
_symmetry_space_group_name_H-M 'P 4/m m m'
_symmetry_Int_Tables_number 123
_symmetry_space_group_name_Hall '-P 4 2'
_cell_length_a 6.662
_cell_length_b 6.662
_cell_length_c 8.633
_cell_angle_alpha 90.00
_cell_angle_beta 90.00
_cell_angle_gamma 90.00
loop_
_atom_site_label
_atom_site_fract_x
_atom_site_fract_y
_atom_site_fract_z
Ho1 0.000 0.000 0.000
Mg1 0.000 0.000 0.500
Mg2 0.000 0.500 0.000
Mg3 0.000 0.500 0.500
Mg4 0.250 0.250 0.257
Mg5 0.500 0.500 0.500
Tl1 0.500 0.500 0.000
```

=====

Record 10
# Ho6MgTl5 (PBE, optimized geometry)
data_Ho6MgTl5
_chemical_formula_sum 'Ho12 Mg2 Tl10'
_symmetry_space_group_name_H-M 'I m m m'
_symmetry_Int_Tables_number 71
_symmetry_space_group_name_Hall '-I 2 2'
_cell_length_a 5.347
_cell_length_b 7.497
_cell_length_c 16.084
_cell_angle_alpha 90.00
_cell_angle_beta 90.00
_cell_angle_gamma 90.00
loop_
_atom_site_label
_atom_site_fract_x
_atom_site_fract_y
_atom_site_fract_z
Ho1 0.000 0.244 0.000
Ho2 0.000 0.252 0.331
Mg1 0.000 0.000 0.500
Tl1 0.000 0.000 0.168
Tl2 0.000 0.500 0.157
Tl3 0.000 0.500 0.500
# Relative energy among the computed polymorphs (meV per atom): 0

=====

Record 11
A plane-wave DFT calculation with PBE was carried out for a relaxed structure of Ho6Mg5Tl.

CIF file:
```
data_Ho6Mg5Tl
_chemical_formula_sum 'Ho12 Mg10 Tl2'
_symmetry_space_group_name_H-M 'C m m m'
_symmetry_Int_Tables_number 65
_symmetry_space_group_name_Hall '-C 2 2'
_cell_length_a 5.332
_cell_length_b 16.057
_cell_length_c 7.526
_cell_angle_alpha 90.00
_cell_angle_beta 90.00
_cell_angle_gamma 90.00
loop_
_atom_site_label
_atom_site_fract_x
_atom_site_fract_y
_atom_site_fract_z
Ho1 0.000 0.000 0.249
Ho2 0.000 0.333 0.248
Mg1 0.000 0.167 0.000
Mg2 0.000 0.171 0.500
Mg3 0.000 0.500 0.000
Tl1 0.000 0.500 0.500
```

=====

Record 12
A plane-wave DFT calculation with PBE was carried out for a relaxed structure of Ho7Mg2Tl2.

CIF file:
```
data_Ho7Mg2Tl2
_chemical_formula_sum 'Ho14 Mg4 Tl4'
_symmetry_space_group_name_H-M 'C m m m'
_symmetry_Int_Tables_number 65
_symmetry_space_group_name_Hall '-C 2 2'
_cell_length_a 7.789
_cell_length_b 11.287
_cell_length_c 7.900
_cell_angle_alpha 90.00
_cell_angle_beta 90.00
_cell_angle_gamma 90.00
loop_
_atom_site_label
_atom_site_fract_x
_atom_site_fract_y
_atom_site_fract_z
Ho1 0.000 0.000 0.000
Ho2 0.000 0.500 0.265
Ho3 0.250 0.250 0.289
Mg1 0.173 0.000 0.500
Tl1 0.000 0.296 0.000
```

=====

| no. | energy of formation (eV per atom) | calculated total energy (eV/atom) |
| --- | --- | --- |
| 1 | -0.276 | -3.37 |
| 2 | -0.011 | -2.90 |
| 3 | -0.264 | -3.44 |
| 4 | -0.207 | -2.74 |
| 5 | -0.228 | -3.32 |
| 6 | -0.166 | -2.64 |
| 7 | 0.000 | -2.53 |
| 8 | -0.225 | -3.50 |
| 9 | 0.001 | -1.83 |
| 10 | -0.297 | -3.70 |
| 11 | -0.131 | -3.28 |
| 12 | 0.143 | -3.49 |